The following is a DFT calculation (GGA-PBE) of crystalline ZnFe2Os2 at its relaxed geometry.

```
data_ZnFe2Os2
_cell_length_a 7.131
_cell_length_b 7.131
_cell_length_c 2.629
_cell_angle_alpha 90.00
_cell_angle_beta 90.00
_cell_angle_gamma 90.00
_symmetry_space_group_name_H-M 'P 4/m b m'
_symmetry_Int_Tables_number 127
_symmetry_space_group_name_Hall '-P 4 2ab'
loop_
_atom_site_label
_atom_site_type_symbol
_atom_site_fract_x
_atom_site_fract_y
_atom_site_fract_z
_atom_site_occupancy
Zn1 Zn 0.000 0.000 0.000 1
Fe1 Fe 0.119 0.381 0.000 1
Os1 Os 0.173 0.673 0.500 1
```

The size of the total moment comes out at 0.00 μB per cell. For the offset from the most stable computed form, the calculation gives 0 meV/atom. As for the formation energy: 0.3269 eV per atom.